Entry 1:
# Nd5HoAu6

Crystalline Nd5HoAu6 at its relaxed geometry (PBE, the Alexandria database).

a = 5.2364 Å, b = 7.3612 Å, c = 9.0714 Å
α = 66.06°, β = 73.08°, γ = 90.00°
Fractional positions:
Au 0.8384 0.0791 0.3221
Au 0.5000 0.7690 0.0000
Nd 0.0000 0.5000 0.0000
Au 0.8385 0.5987 0.3221
Ho 0.0000 0.0000 0.0000
Au 0.5000 0.2310 0.0000
Au 0.1615 0.4013 0.6779
Au 0.1616 0.9209 0.6779
Nd 0.3300 0.8306 0.3387
Nd 0.6700 0.1694 0.6613
Nd 0.6645 0.6649 0.6703
Nd 0.3355 0.3351 0.3297

Values from the calculation:
Magnetic moment ... 0.000 Bohr magnetons per cell
ρ ... 11.33 g cm⁻³
DFT formation energy ... -0.78 eV per atom
Crystal system ... monoclinic
Space group ... No. 12

---

Entry 2:
# NdHo3Au

Crystalline NdHo3Au at its relaxed geometry (PBE, the Alexandria database).

a = 5.2506 Å, b = 7.5668 Å, c = 7.4109 Å
α = 90.02°, β = 90.00°, γ = 90.00°
Fractional positions:
Nd 0.9756 0.9725 0.2011
Ho 0.4756 0.8539 0.4834
Ho 0.4756 0.8535 0.9183
Ho 0.4756 0.2379 0.2001
Ho 0.9756 0.4993 0.9832
Nd 0.4756 0.3803 0.7005
Au 0.9757 0.7512 0.7006
Ho 0.9756 0.1148 0.7014
Ho 0.9756 0.4988 0.4182
Au 0.4757 0.6016 0.2009

Values from the calculation:
Magnetic moment ... 0.000 Bohr magnetons per cell
ρ ... 9.43 g cm⁻³
DFT formation energy ... -0.29 eV per atom
Crystal system ... monoclinic
Space group ... No. 11

---

Entry 3:
# NdHo5Au4

Crystalline NdHo5Au4 at its relaxed geometry (PBE, the Alexandria database).

a = 3.5642 Å, b = 3.5642 Å, c = 19.7115 Å
α = 90.00°, β = 90.00°, γ = 90.00°
Fractional positions:
Ho 0.5000 0.5000 0.6847
Nd 0.0000 0.0000 0.0000
Ho 0.5000 0.5000 0.8666
Au 0.0000 0.0000 0.5924
Au 0.0000 0.0000 0.4076
Au 0.0000 0.0000 0.2212
Au 0.0000 0.0000 0.7788
Ho 0.5000 0.5000 0.5000
Ho 0.5000 0.5000 0.3153
Ho 0.5000 0.5000 0.1334

Values from the calculation:
Magnetic moment ... 0.000 Bohr magnetons per cell
ρ ... 11.65 g cm⁻³
DFT formation energy ... -0.69 eV per atom
Crystal system ... tetragonal
Space group ... No. 123

---

Entry 4:
# Nd3HoAu3

Crystalline Nd3HoAu3 at its relaxed geometry (PBE, the Alexandria database).

a = 7.3285 Å, b = 7.3285 Å, c = 7.3676 Å
α = 91.05°, β = 91.05°, γ = 96.52°
Fractional positions:
Nd 0.7404 0.2596 0.0000
Au 0.5035 0.9775 0.7224
Nd 0.2596 0.7404 0.0000
Nd 0.3466 0.3466 0.6222
Nd 0.1775 0.8225 0.5000
Au 0.9775 0.5035 0.7224
Ho 0.2535 0.2535 0.1215
Au 0.9357 0.9357 0.1850
Nd 0.6534 0.6534 0.3778
Au 0.0643 0.0643 0.8150
Nd 0.8225 0.1775 0.5000
Au 0.4965 0.0225 0.2776
Au 0.0225 0.4965 0.2776
Ho 0.7465 0.7465 0.8785

Values from the calculation:
Magnetic moment ... 0.000 Bohr magnetons per cell
ρ ... 10.04 g cm⁻³
DFT formation energy ... -0.60 eV per atom
Crystal system ... monoclinic
Space group ... No. 12